[1]
{
  "formula": "SiHgNO",
  "functional": "PBE",
  "state": "relaxed",
  "e_tot_ev_per_cell": -81.2,
  "sg": "Pca2_1 (29)",
  "de_polymorph_ev_per_atom": 0.6326,
  "lattice_angstrom": [[5.1734, 0.0000, 0.0000], [0.0000, 7.1867, 0.0000], [0.0000, 0.0000, 6.4222]],
  "species": ["O", "O", "O", "N", "N", "Hg", "Hg", "Si", "Si", "Hg", "Si", "O", "Hg", "N", "Si", "N"],
  "frac_coords": [[0.8991, 0.4519, 0.1459], [0.3991, 0.5481, 0.1459], [0.6009, 0.4519, 0.6459], [0.4746, 0.8374, 0.6124], [0.5254, 0.1626, 0.1124], [0.7005, 0.8681, 0.8926], [0.2995, 0.1319, 0.3926], [0.1094, 0.6144, 0.0515], [0.6094, 0.3856, 0.0515], [0.7995, 0.8681, 0.3926], [0.3906, 0.6144, 0.5515], [0.1009, 0.5481, 0.6459], [0.2005, 0.1319, 0.8926], [0.0254, 0.8374, 0.1124], [0.8906, 0.3856, 0.5515], [0.9746, 0.1626, 0.6124]]
}

---

[2]
{
  "formula": "SnHgNO",
  "functional": "PBE",
  "state": "relaxed",
  "e_tot_ev_per_cell": -32.0,
  "sg": "P4/nmm (129)",
  "de_polymorph_ev_per_atom": 0.4670,
  "lattice_angstrom": [[3.9295, 0.0000, 0.0000], [0.0000, 3.9295, 0.0000], [0.0000, 0.0000, 8.2661]],
  "species": ["Sn", "N", "Hg", "O", "Hg", "N", "O", "Sn"],
  "frac_coords": [[0.5000, 0.0000, 0.8639], [0.0000, 0.5000, 0.6772], [0.0000, 0.0000, 0.5000], [0.0000, 0.0000, 0.0000], [0.5000, 0.5000, 0.5000], [0.5000, 0.0000, 0.3228], [0.5000, 0.5000, 0.0000], [0.0000, 0.5000, 0.1361]]
}

---

[3]
{
  "formula": "SnHgNO",
  "functional": "PBE",
  "state": "relaxed",
  "e_tot_ev_per_cell": -71.1,
  "sg": "Pca2_1 (29)",
  "de_polymorph_ev_per_atom": 0.0161,
  "lattice_angstrom": [[-3.7284, 0.2771, 5.0399], [4.2651, -5.4614, 3.4555], [3.3748, 4.0735, 2.2726]],
  "species": ["O", "N", "Sn", "Hg", "Hg", "Sn", "N", "Sn", "O", "N", "O", "Hg", "O", "N", "Sn", "Hg"],
  "frac_coords": [[0.4676, 0.1681, 0.0927], [0.5984, 0.4076, 0.6216], [0.4089, 0.6094, 0.4865], [0.9022, 0.8862, 0.5016], [0.4022, 0.1138, 0.5016], [0.0911, 0.6094, 0.9865], [0.9016, 0.4076, 0.1216], [0.5911, 0.3906, 0.9865], [0.0324, 0.1681, 0.5927], [0.0984, 0.5924, 0.6216], [0.9676, 0.8319, 0.0927], [0.5978, 0.8862, 0.0016], [0.5324, 0.8319, 0.5927], [0.4016, 0.5924, 0.1216], [0.9089, 0.3906, 0.4865], [0.0978, 0.1138, 0.0016]]
}

---

[4]
{
  "formula": "SnHgNO",
  "functional": "PBE",
  "state": "relaxed",
  "e_tot_ev_per_cell": -35.5,
  "sg": "Pmc2_1 (26)",
  "de_polymorph_ev_per_atom": 0.0265,
  "lattice_angstrom": [[2.9409, -2.3126, 1.1144], [-3.7418, -3.4423, 2.7311], [-0.6696, -3.2943, -5.0695]],
  "species": ["Sn", "Hg", "Hg", "N", "N", "O", "Sn", "O"],
  "frac_coords": [[0.0000, 0.9952, 0.6780], [0.5000, 0.4802, 0.8081], [0.5000, 0.9802, 0.1919], [0.0000, 0.8638, 0.3516], [0.0000, 0.3638, 0.6484], [0.5000, 0.9148, 0.7974], [0.0000, 0.4952, 0.3220], [0.5000, 0.4148, 0.2026]]
}